1.
# In12Ag3Te5 (GGA-PBE, optimized geometry)
# * uncorrected formation energy: -0.037 eV per formula unit
# * DOS(E_F): 77.434 states/eV per cell
# * spin magnetization: 0.0 μB/cell
# * mass density: 5.91 Mg/m³
data_In12Ag3Te5
_chemical_formula_sum 'In96 Ag24 Te40'
_cell_length_a 17.386
_cell_length_b 17.386
_cell_length_c 17.386
_cell_angle_alpha 90.00
_cell_angle_beta 90.00
_cell_angle_gamma 90.00
_space_group_name_H-M_alt 'I a -3 d'
_space_group_IT_number 230
_space_group_name_Hall '-I 4bd 2c 3'
loop_
_atom_site_label
_atom_site_type_symbol
_atom_site_fract_x
_atom_site_fract_y
_atom_site_fract_z
_atom_site_occupancy
In1 In 0.017 0.091 0.652 1
Ag1 Ag 0.000 0.250 0.125 1
Te1 Te 0.000 0.000 0.000 1
Te2 Te 0.000 0.250 0.375 1



2.
# InAg3Te4 (GGA-PBE, optimized geometry)
# * uncorrected formation energy: -0.345 eV per formula unit
# * DOS(E_F): 4.762 states/eV per cell
# * spin magnetization: 0.0 μB/cell
# * mass density: 6.71 Mg/m³
data_InAg3Te4
_chemical_formula_sum 'In1 Ag3 Te4'
_cell_length_a 6.169
_cell_length_b 6.169
_cell_length_c 6.169
_cell_angle_alpha 90.00
_cell_angle_beta 90.00
_cell_angle_gamma 90.00
_space_group_name_H-M_alt 'P -4 3 m'
_space_group_IT_number 215
_space_group_name_Hall 'P -4 2 3'
loop_
_atom_site_label
_atom_site_type_symbol
_atom_site_fract_x
_atom_site_fract_y
_atom_site_fract_z
_atom_site_occupancy
In1 In 0.000 0.000 0.000 1
Ag1 Ag 0.000 0.000 0.500 1
Te1 Te 0.283 0.283 0.283 1



3.
# In2AgTe (GGA-PBE, optimized geometry)
# * uncorrected formation energy: 0.213 eV per formula unit
# * DOS(E_F): 1.164 states/eV per cell
# * spin magnetization: 0.0 μB/cell
# * mass density: 7.18 Mg/m³
data_In2AgTe
_chemical_formula_sum 'In2 Ag1 Te1'
_cell_length_a 3.200
_cell_length_b 5.825
_cell_length_c 5.774
_cell_angle_alpha 90.00
_cell_angle_beta 91.25
_cell_angle_gamma 90.00
_space_group_name_H-M_alt 'P 1 2/m 1'
_space_group_IT_number 10
loop_
_space_group_symop_operation_xyz
'x,y,z'
'-x,-y,-z'
'-x,y,-z'
'x,-y,z'
loop_
_atom_site_label
_atom_site_type_symbol
_atom_site_fract_x
_atom_site_fract_y
_atom_site_fract_z
_atom_site_occupancy
In1 In 0.240 0.000 0.248 1
Ag1 Ag 0.000 0.500 0.000 1
Te1 Te 0.000 0.500 0.500 1



4.
# InAg2Te2 (GGA-PBE, optimized geometry)
# * relative energy among the computed polymorphs: 0.235 eV per atom
# * uncorrected formation energy: 0.791 eV per formula unit
# * DOS(E_F): 3.728 states/eV per cell
# * spin magnetization: 0.0 μB/cell
# * mass density: 7.02 Mg/m³
data_InAg2Te2
_chemical_formula_sum 'In2 Ag4 Te4'
_cell_length_a 4.543
_cell_length_b 4.543
_cell_length_c 13.431
_cell_angle_alpha 90.00
_cell_angle_beta 90.00
_cell_angle_gamma 90.00
_space_group_name_H-M_alt 'I 4/m m m'
_space_group_IT_number 139
_space_group_name_Hall '-I 4 2'
loop_
_atom_site_label
_atom_site_type_symbol
_atom_site_fract_x
_atom_site_fract_y
_atom_site_fract_z
_atom_site_occupancy
In1 In 0.000 0.000 0.000 1
Ag1 Ag 0.000 0.000 0.400 1
Te1 Te 0.000 0.500 0.250 1



5.
# In2AgTe (GGA-PBE, optimized geometry)
# * uncorrected formation energy: 0.444 eV per formula unit
# * DOS(E_F): 9.630 states/eV per cell
# * spin magnetization: 0.0 μB/cell
# * mass density: 7.51 Mg/m³
data_In2AgTe
_chemical_formula_sum 'In6 Ag3 Te3'
_cell_length_a 3.2804
_cell_length_b 3.2804
_cell_length_c 33.1276
_cell_angle_alpha 90.00
_cell_angle_beta 90.00
_cell_angle_gamma 120.00
_space_group_name_H-M_alt 'R 3 m'
_space_group_IT_number 160
_space_group_name_Hall 'R 3 -2"'
loop_
_atom_site_label
_atom_site_type_symbol
_atom_site_fract_x
_atom_site_fract_y
_atom_site_fract_z
_atom_site_occupancy
In1 In 0.0000 0.0000 0.0000 1
In2 In 0.0000 0.0000 0.2496 1
Ag1 Ag 0.0000 0.0000 0.7375 1
Te1 Te 0.0000 0.0000 0.4783 1



6.
# InAgTe (GGA-PBE, optimized geometry)
# * uncorrected formation energy: -0.255 eV per formula unit
# * DOS(E_F): 0.476 states/eV per cell
# * spin magnetization: 0.0 μB/cell
# * mass density: 6.52 Mg/m³
data_InAgTe
_chemical_formula_sum 'In1 Ag1 Te1'
_cell_length_a 4.7459
_cell_length_b 4.7459
_cell_length_c 4.5712
_cell_angle_alpha 90.00
_cell_angle_beta 90.00
_cell_angle_gamma 120.00
_space_group_name_H-M_alt 'P 3 m 1'
_space_group_IT_number 156
loop_
_space_group_symop_operation_xyz
'x,y,z'
'-y,x-y,z'
'-x+y,-x,z'
'-y,-x,z'
'-x+y,y,z'
'x,x-y,z'
loop_
_atom_site_label
_atom_site_type_symbol
_atom_site_fract_x
_atom_site_fract_y
_atom_site_fract_z
_atom_site_occupancy
In1 In 0.0000 0.0000 0.0000 1
Ag1 Ag 0.3333 0.6667 0.5890 1
Te1 Te 0.6667 0.3333 0.4887 1



7.
# InAgTe4 (GGA-PBE, optimized geometry)
# * relative energy among the computed polymorphs: 0.413 eV per atom
# * uncorrected formation energy: 2.003 eV per formula unit
# * DOS(E_F): 13.703 states/eV per cell
# * spin magnetization: 0.0 μB/cell
# * mass density: 6.43 Mg/m³
data_InAgTe4
_chemical_formula_sum 'In4 Ag4 Te16'
_cell_length_a 9.117
_cell_length_b 9.117
_cell_length_c 9.117
_cell_angle_alpha 90.00
_cell_angle_beta 90.00
_cell_angle_gamma 90.00
_space_group_name_H-M_alt 'F -4 3 m'
_space_group_IT_number 216
_space_group_name_Hall 'F -4 2 3'
loop_
_atom_site_label
_atom_site_type_symbol
_atom_site_fract_x
_atom_site_fract_y
_atom_site_fract_z
_atom_site_occupancy
In1 In 0.000 0.000 0.000 1
Ag1 Ag 0.250 0.250 0.250 1
Te1 Te 0.124 0.124 0.624 1



8.
# InAgTe (GGA-PBE, optimized geometry)
# * uncorrected formation energy: 0.270 eV per formula unit
# * DOS(E_F): 2.492 states/eV per cell
# * spin magnetization: 0.0 μB/cell
# * mass density: 7.70 Mg/m³
data_InAgTe
_chemical_formula_sum 'In2 Ag2 Te2'
_cell_length_a 3.403
_cell_length_b 3.403
_cell_length_c 13.050
_cell_angle_alpha 90.00
_cell_angle_beta 90.00
_cell_angle_gamma 90.00
_space_group_name_H-M_alt 'I 4 m m'
_space_group_IT_number 107
_space_group_name_Hall 'I 4 -2'
loop_
_atom_site_label
_atom_site_type_symbol
_atom_site_fract_x
_atom_site_fract_y
_atom_site_fract_z
_atom_site_occupancy
In1 In 0.000 0.000 0.000 1
Ag1 Ag 0.000 0.000 0.644 1
Te1 Te 0.000 0.000 0.298 1



9.
# In2AgTe (GGA-PBE, optimized geometry)
# * uncorrected formation energy: -0.166 eV per formula unit
# * DOS(E_F): 3.554 states/eV per cell
# * spin magnetization: 0.0 μB/cell
# * mass density: 6.90 Mg/m³
data_In2AgTe
_chemical_formula_sum 'In4 Ag2 Te2'
_cell_length_a 7.450
_cell_length_b 4.503
_cell_length_c 7.224
_cell_angle_alpha 90.00
_cell_angle_beta 112.52
_cell_angle_gamma 90.00
_space_group_name_H-M_alt 'C 1 m 1'
_space_group_IT_number 8
loop_
_space_group_symop_operation_xyz
'x,y,z'
'x,-y,z'
'x+1/2,y+1/2,z'
'x+1/2,-y+1/2,z'
loop_
_atom_site_label
_atom_site_type_symbol
_atom_site_fract_x
_atom_site_fract_y
_atom_site_fract_z
_atom_site_occupancy
In1 In 0.000 0.000 0.000 1
In2 In 0.236 0.000 0.706 1
Ag1 Ag 0.235 0.500 0.210 1
Te1 Te 0.471 0.000 0.425 1



10.
# In2AgTe (GGA-PBE, optimized geometry)
# * uncorrected formation energy: -0.268 eV per formula unit
# * DOS(E_F): 5.587 states/eV per cell
# * spin magnetization: 0.0 μB/cell
# * mass density: 6.93 Mg/m³
data_In2AgTe
_chemical_formula_sum 'In6 Ag3 Te3'
_cell_length_a 4.4122
_cell_length_b 4.4122
_cell_length_c 19.8276
_cell_angle_alpha 90.00
_cell_angle_beta 90.00
_cell_angle_gamma 120.00
_space_group_name_H-M_alt 'R -3 m'
_space_group_IT_number 166
_space_group_name_Hall '-R 3 2"'
loop_
_atom_site_label
_atom_site_type_symbol
_atom_site_fract_x
_atom_site_fract_y
_atom_site_fract_z
_atom_site_occupancy
In1 In 0.0000 0.0000 0.2388 1
Ag1 Ag 0.0000 0.0000 0.5000 1
Te1 Te 0.0000 0.0000 0.0000 1



11.
# In2AgTe (GGA-PBE, optimized geometry)
# * uncorrected formation energy: -0.085 eV per formula unit
# * DOS(E_F): 1.832 states/eV per cell
# * spin magnetization: 0.0 μB/cell
# * mass density: 7.15 Mg/m³
data_In2AgTe
_chemical_formula_sum 'In4 Ag2 Te2'
_cell_length_a 4.225
_cell_length_b 4.238
_cell_length_c 12.072
_cell_angle_alpha 90.00
_cell_angle_beta 90.00
_cell_angle_gamma 90.00
_space_group_name_H-M_alt 'I m m m'
_space_group_IT_number 71
_space_group_name_Hall '-I 2 2'
loop_
_atom_site_label
_atom_site_type_symbol
_atom_site_fract_x
_atom_site_fract_y
_atom_site_fract_z
_atom_site_occupancy
In1 In 0.000 0.000 0.205 1
Ag1 Ag 0.000 0.500 0.000 1
Te1 Te 0.000 0.500 0.500 1



12.
# InAgTe (GGA-PBE, optimized geometry)
# * uncorrected formation energy: -0.292 eV per formula unit
# * spin magnetization: 0.0 μB/cell
# * mass density: 6.79 Mg/m³
data_InAgTe
_chemical_formula_sum 'In4 Ag4 Te4'
_cell_length_a 6.998
_cell_length_b 6.998
_cell_length_c 6.998
_cell_angle_alpha 90.00
_cell_angle_beta 90.00
_cell_angle_gamma 90.00
_space_group_name_H-M_alt 'F -4 3 m'
_space_group_IT_number 216
_space_group_name_Hall 'F -4 2 3'
loop_
_atom_site_label
_atom_site_type_symbol
_atom_site_fract_x
_atom_site_fract_y
_atom_site_fract_z
_atom_site_occupancy
In1 In 0.000 0.000 0.000 1
Ag1 Ag 0.250 0.250 0.250 1
Te1 Te 0.000 0.000 0.500 1



13.
# InAg2Te2 (GGA-PBE, optimized geometry)
# * relative energy among the computed polymorphs: 0.113 eV per atom
# * uncorrected formation energy: 0.181 eV per formula unit
# * DOS(E_F): 2.512 states/eV per cell
# * spin magnetization: 0.0 μB/cell
# * mass density: 7.54 Mg/m³
data_InAg2Te2
_chemical_formula_sum 'In2 Ag4 Te4'
_cell_length_a 8.660
_cell_length_b 8.660
_cell_length_c 3.439
_cell_angle_alpha 90.00
_cell_angle_beta 90.00
_cell_angle_gamma 90.00
_space_group_name_H-M_alt 'P 4/m b m'
_space_group_IT_number 127
_space_group_name_Hall '-P 4 2ab'
loop_
_atom_site_label
_atom_site_type_symbol
_atom_site_fract_x
_atom_site_fract_y
_atom_site_fract_z
_atom_site_occupancy
In1 In 0.000 0.000 0.000 1
Ag1 Ag 0.122 0.378 0.000 1
Te1 Te 0.175 0.675 0.500 1



14.
# In5AgTe8 (GGA-PBE, optimized geometry)
# * relative energy among the computed polymorphs: 0.000 eV per atom
# * uncorrected formation energy: -4.385 eV per formula unit
# * DOS(E_F): 0.939 states/eV per cell
# * spin magnetization: 0.0 μB/cell
# * mass density: 5.52 Mg/m³
data_In5AgTe8
_chemical_formula_sum 'In10 Ag2 Te16'
_cell_length_a 8.983
_cell_length_b 12.679
_cell_length_c 8.999
_cell_angle_alpha 90.00
_cell_angle_beta 90.19
_cell_angle_gamma 90.00
_space_group_name_H-M_alt 'C 1 2 1'
_space_group_IT_number 5
loop_
_space_group_symop_operation_xyz
'x,y,z'
'-x,y,-z'
'x+1/2,y+1/2,z'
'-x+1/2,y+1/2,-z'
loop_
_atom_site_label
_atom_site_type_symbol
_atom_site_fract_x
_atom_site_fract_y
_atom_site_fract_z
_atom_site_occupancy
In1 In 0.000 0.000 0.000 1
In2 In 0.000 0.010 0.500 1
In3 In 0.000 0.523 0.500 1
In4 In 0.236 0.761 0.246 1
Ag1 Ag 0.000 0.514 0.000 1
Te1 Te 0.018 0.147 0.248 1
Te2 Te 0.032 0.648 0.754 1
Te3 Te 0.243 0.375 0.023 1
Te4 Te 0.245 0.376 0.475 1



15.
# InAg2Te5 (GGA-PBE, optimized geometry)
# * uncorrected formation energy: 1.144 eV per formula unit
# * DOS(E_F): 12.974 states/eV per cell
# * spin magnetization: 0.0 μB/cell
# * mass density: 6.91 Mg/m³
data_InAg2Te5
_chemical_formula_sum 'In2 Ag4 Te10'
_cell_length_a 4.415
_cell_length_b 6.602
_cell_length_c 15.981
_cell_angle_alpha 90.00
_cell_angle_beta 90.00
_cell_angle_gamma 90.00
_space_group_name_H-M_alt 'I m m m'
_space_group_IT_number 71
_space_group_name_Hall '-I 2 2'
loop_
_atom_site_label
_atom_site_type_symbol
_atom_site_fract_x
_atom_site_fract_y
_atom_site_fract_z
_atom_site_occupancy
In1 In 0.000 0.000 0.000 1
Ag1 Ag 0.000 0.500 0.193 1
Te1 Te 0.000 0.270 0.356 1
Te2 Te 0.000 0.500 0.000 1



16.
# In5AgTe8 (GGA-PBE, optimized geometry)
# * relative energy among the computed polymorphs: 0.078 eV per atom
# * uncorrected formation energy: -3.296 eV per formula unit
# * DOS(E_F): 16.627 states/eV per cell
# * spin magnetization: 0.0 μB/cell
# * mass density: 5.93 Mg/m³
data_In5AgTe8
_chemical_formula_sum 'In20 Ag4 Te32'
_cell_length_a 12.404
_cell_length_b 12.404
_cell_length_c 12.404
_cell_angle_alpha 90.00
_cell_angle_beta 90.00
_cell_angle_gamma 90.00
_space_group_name_H-M_alt 'F -4 3 m'
_space_group_IT_number 216
_space_group_name_Hall 'F -4 2 3'
loop_
_atom_site_label
_atom_site_type_symbol
_atom_site_fract_x
_atom_site_fract_y
_atom_site_fract_z
_atom_site_occupancy
In1 In 0.000 0.000 0.000 1
In2 In 0.118 0.118 0.618 1
Ag1 Ag 0.250 0.250 0.250 1
Te1 Te 0.120 0.120 0.380 1
Te2 Te 0.135 0.135 0.865 1



17.
# InAg5Te6 (GGA-PBE, optimized geometry)
# * uncorrected formation energy: -0.664 eV per formula unit
# * DOS(E_F): 10.576 states/eV per cell
# * spin magnetization: 0.0 μB/cell
# * mass density: 7.39 Mg/m³
data_InAg5Te6
_chemical_formula_sum 'In2 Ag10 Te12'
_cell_length_a 7.528
_cell_length_b 12.542
_cell_length_c 7.233
_cell_angle_alpha 90.00
_cell_angle_beta 110.87
_cell_angle_gamma 90.00
_space_group_name_H-M_alt 'C 1 2/m 1'
_space_group_IT_number 12
loop_
_space_group_symop_operation_xyz
'x,y,z'
'-x,-y,-z'
'-x,y,-z'
'x,-y,z'
'x+1/2,y+1/2,z'
'-x+1/2,-y+1/2,-z'
'-x+1/2,y+1/2,-z'
'x+1/2,-y+1/2,z'
loop_
_atom_site_label
_atom_site_type_symbol
_atom_site_fract_x
_atom_site_fract_y
_atom_site_fract_z
_atom_site_occupancy
In1 In 0.000 0.000 0.000 1
Ag1 Ag 0.000 0.158 0.500 1
Ag2 Ag 0.000 0.328 0.000 1
Ag3 Ag 0.000 0.500 0.500 1
Te1 Te 0.206 0.500 0.232 1
Te2 Te 0.219 0.170 0.264 1



18.
# In2AgTe2 (GGA-PBE, optimized geometry)
# * relative energy among the computed polymorphs: 0.000 eV per atom
# * uncorrected formation energy: -0.135 eV per formula unit
# * DOS(E_F): 9.348 states/eV per cell
# * spin magnetization: 0.0 μB/cell
# * mass density: 6.56 Mg/m³
data_In2AgTe2
_chemical_formula_sum 'In4 Ag2 Te4'
_cell_length_a 8.208
_cell_length_b 8.208
_cell_length_c 4.456
_cell_angle_alpha 90.00
_cell_angle_beta 90.00
_cell_angle_gamma 90.00
_space_group_name_H-M_alt 'P 4/m b m'
_space_group_IT_number 127
_space_group_name_Hall '-P 4 2ab'
loop_
_atom_site_label
_atom_site_type_symbol
_atom_site_fract_x
_atom_site_fract_y
_atom_site_fract_z
_atom_site_occupancy
In1 In 0.133 0.367 0.000 1
Ag1 Ag 0.000 0.000 0.500 1
Te1 Te 0.184 0.684 0.500 1



19.
# InAgTe4 (GGA-PBE, optimized geometry)
# * relative energy among the computed polymorphs: 0.000 eV per atom
# * uncorrected formation energy: -0.478 eV per formula unit
# * DOS(E_F): 2.830 states/eV per cell
# * spin magnetization: 0.0 μB/cell
# * mass density: 6.62 Mg/m³
data_InAgTe4
_chemical_formula_sum 'In2 Ag2 Te8'
_cell_length_a 5.690
_cell_length_b 8.321
_cell_length_c 7.769
_cell_angle_alpha 90.00
_cell_angle_beta 91.08
_cell_angle_gamma 90.00
_space_group_name_H-M_alt 'P 1 2/c 1'
_space_group_IT_number 13
loop_
_space_group_symop_operation_xyz
'x,y,z'
'-x,-y,-z'
'-x,y,-z+1/2'
'x,-y,z+1/2'
loop_
_atom_site_label
_atom_site_type_symbol
_atom_site_fract_x
_atom_site_fract_y
_atom_site_fract_z
_atom_site_occupancy
In1 In 0.000 0.107 0.250 1
Ag1 Ag 0.500 0.449 0.250 1
Te1 Te 0.178 0.381 0.513 1
Te2 Te 0.333 0.119 0.959 1



20.
# InAg2Te2 (GGA-PBE, optimized geometry)
# * relative energy among the computed polymorphs: 0.000 eV per atom
# * uncorrected formation energy: -0.386 eV per formula unit
# * DOS(E_F): 4.256 states/eV per cell
# * spin magnetization: 0.0 μB/cell
# * mass density: 7.11 Mg/m³
data_InAg2Te2
_chemical_formula_sum 'In2 Ag4 Te4'
_cell_length_a 4.188
_cell_length_b 4.188
_cell_length_c 15.591
_cell_angle_alpha 90.00
_cell_angle_beta 90.00
_cell_angle_gamma 90.00
_space_group_name_H-M_alt 'I 4/m m m'
_space_group_IT_number 139
_space_group_name_Hall '-I 4 2'
loop_
_atom_site_label
_atom_site_type_symbol
_atom_site_fract_x
_atom_site_fract_y
_atom_site_fract_z
_atom_site_occupancy
In1 In 0.000 0.000 0.000 1
Ag1 Ag 0.000 0.500 0.250 1
Te1 Te 0.000 0.000 0.378 1